Entry 1:
PBE-GGA NdGe4Pd6, optimized geometry; density = 9.55 Mg/m³; SG = P-6m2 (187); N(E_F) = 4.90 states/eV/f.u.; calculated formation energy = -0.68 eV per atom
1.0
7.3380 0.0000 0.0000
-3.6690 6.3549 0.0000
0.0000 0.0000 4.0029
Nd Ge Pd
1 4 6
Direct
0.0000 0.0000 0.0000
0.3333 0.6667 0.0000
0.3853 0.1927 0.5000
0.8073 0.1927 0.5000
0.8073 0.6147 0.5000
0.2003 0.4006 0.5000
0.2003 0.7997 0.5000
0.5354 0.0709 0.0000
0.5354 0.4646 0.0000
0.5994 0.7997 0.5000
0.9291 0.4646 0.0000


Entry 2:
PBE-GGA Rb2PuAgBr6, optimized geometry; density = 4.63 Mg/m³; energy relative to the elements, uncorrected = -1.393 eV/atom; SG = P2_1/c (14); N(E_F) = 11.14 states/eV/f.u.
1.0
7.8379 0.0000 0.0000
0.0000 8.1691 0.0000
-7.7346 0.0000 11.2187
Rb Pu Ag Br
4 2 2 12
Direct
0.2301 0.0628 0.2489
0.2301 0.4372 0.7489
0.7699 0.5628 0.2511
0.7699 0.9372 0.7511
0.5000 0.0000 0.0000
0.5000 0.5000 0.5000
0.0000 0.0000 0.5000
0.0000 0.5000 0.0000
0.1644 0.2030 0.9583
0.1644 0.2970 0.4583
0.2639 0.7079 0.9630
0.2639 0.7921 0.4630
0.3263 0.0156 0.7491
0.3263 0.4844 0.2491
0.6737 0.5156 0.7509
0.6737 0.9844 0.2509
0.7361 0.2079 0.5370
0.7361 0.2921 0.0370
0.8356 0.7030 0.5417
0.8356 0.7970 0.0417


Entry 3:
PBE-GGA PrNd2Au6, optimized geometry; density = 12.23 Mg/m³; SG = Immm (71); N(E_F) = 5.62 states/eV/f.u.; calculated formation energy = -0.71 eV per atom
1.0
-1.8878 3.8916 7.4457
1.8878 -3.8916 7.4457
1.8878 3.8916 -7.4457
Pr Nd Au
1 2 6
Direct
0.0000 0.0000 0.0000
0.3587 0.8587 0.5000
0.6413 0.1413 0.5000
0.0092 0.3239 0.6853
0.3163 0.5000 0.8163
0.3614 0.6761 0.6853
0.6386 0.3239 0.3147
0.6837 0.5000 0.1837
0.9908 0.6761 0.3147


Entry 4:
PBE-GGA Ce2PuAl3, optimized geometry; density = 7.56 Mg/m³; SG = R-3m (166); N(E_F) = 11.66 states/eV/f.u.; calculated formation energy = -0.26 eV per atom
1.0
2.7392 1.5815 5.1139
-2.7392 1.5815 5.1139
0.0000 -3.1629 5.1139
Ce Pu Al
2 1 3
Direct
0.1313 0.1313 0.1313
0.8687 0.8687 0.8687
0.5000 0.5000 0.5000
0.0000 0.5000 0.5000
0.5000 0.0000 0.5000
0.5000 0.5000 0.0000